The following is a PBE calculation of a geometry-optimized HgAsN2 structure, from Alexandria via LeMat-Bulk.

Output
raw formation energy = 1.308 eV/atom
N(E_F) = 0.3500 states/eV/atom
size of the total moment = 0.00 μB per cell
electronic total energy = -49.11 eV for the cell shown

Cell lengths 3.7424, 3.7424, 17.7726 Å; angles 90.00, 90.00, 120.00 degrees
Space group R-3m (No. 166, hexagonal axes)
Inequivalent atoms, fractional coordinates:
Hg  0.0000  0.0000  0.0000 [3 per cell]
As  0.0000  0.0000  0.5000 [3 per cell]
N  0.0000  0.0000  0.4018 [6 per cell]

The following is a PBE calculation of a geometry-optimized NaLiH3Pd structure, from Alexandria via LeMat-Bulk.

Output
N(E_F) = 0.0214 states/eV/atom
size of the total moment = 0.00 μB per cell
electronic total energy = -40.38 eV for the cell shown

Cell lengths 5.273, 3.203, 7.572 Å; angles 90.00, 106.93, 90.00 degrees
Space group P2_1/m (No. 11)
Inequivalent atoms, fractional coordinates:
Na  0.164  0.250  0.189 [2 per cell]
Li  0.278  0.750  0.548 [2 per cell]
H  0.046  0.250  0.673 [2 per cell]
H  0.340  0.750  0.980 [2 per cell]
H  0.487  0.750  0.355 [2 per cell]
Pd  0.354  0.250  0.836 [2 per cell]